# 1
Material: Be9VCu2
Method: DFT, GGA-PBE
State: relaxed

Cell lengths 4.264, 4.264, 7.263 Å; angles 72.93, 72.93, 60.00 degrees
Element x y z (fractional)
Be 0.667 0.667 0.998
Be 0.333 0.333 0.002
Be 0.500 0.500 0.500
Be 0.416 0.416 0.250
Be 0.917 0.416 0.250
Be 0.416 0.917 0.250
Be 0.584 0.584 0.750
Be 0.584 0.083 0.750
Be 0.083 0.584 0.750
V 0.000 0.000 0.000
Cu 0.857 0.857 0.428
Cu 0.143 0.143 0.572

Output
SG: R-3m
size of the total moment: 1.7 μB per formula unit
V: 9.0 Å³ per atom
ΔE_f: -1.4 eV per formula unit



# 2
Material: RbZrAu3
Method: DFT, GGA-PBE
State: relaxed

Cell lengths 5.422, 5.422, 5.422 Å; angles 90.00, 90.00, 90.00 degrees
Element x y z (fractional)
Au 0.000 0.500 0.000
Au 0.000 0.000 0.500
Au 0.500 0.000 0.000
Rb 0.500 0.500 0.500
Zr 0.000 0.000 0.000

Output
SG: Pm-3m
size of the total moment: 0.0 μB per formula unit
excess energy over the best structure of this formula in the dataset: 0 meV/atom
V: 31.9 Å³ per atom
ΔE_f: 0.3 eV per formula unit



# 3
Material: BaSi2BW
Method: DFT, GGA-PBE
State: relaxed

Cell lengths 4.243, 5.017, 4.243 Å; angles 90.00, 90.00, 90.00 degrees
Element x y z (fractional)
Si 0.000 0.000 0.500
Si 0.500 0.000 0.000
B 0.000 0.000 0.000
Ba 0.000 0.500 0.000
W 0.500 0.500 0.500

Output
SG: P4/mmm
size of the total moment: 0.0 μB per formula unit
formation energy (no corrections): 1.427 eV per atom
V: 18.1 Å³ per atom



# 4
Material: Tb4PrTm3
Method: DFT, GGA-PBE
State: relaxed

Cell lengths 6.272, 7.265, 11.286 Å; angles 90.00, 90.00, 90.00 degrees
Element x y z (fractional)
Tb 0.146 0.873 0.000
Tb 0.649 0.125 0.000
Tb 0.982 0.125 0.253
Tb 0.482 0.875 0.247
Tb 0.149 0.875 0.500
Tb 0.646 0.127 0.500
Tb 0.482 0.875 0.753
Tb 0.982 0.125 0.747
Pr 0.147 0.375 0.000
Pr 0.647 0.625 0.500
Tm 0.648 0.625 0.000
Tm 0.981 0.625 0.250
Tm 0.481 0.375 0.250
Tm 0.148 0.375 0.500
Tm 0.481 0.375 0.750
Tm 0.981 0.625 0.750

Output
SG: Pmn2_1
size of the total moment: 0.0 μB per formula unit
excess energy over the best structure of this formula in the dataset: 0 meV/atom
V: 32.1 Å³ per atom
ΔE_f: 0.1 eV per formula unit



# 5
Material: ScBi2Au
Method: DFT, GGA-PBE
State: relaxed

Cell lengths 4.580, 4.580, 10.955 Å; angles 77.93, 77.93, 90.00 degrees
Element x y z (fractional)
Sc 0.500 0.500 0.000
Sc 0.250 0.750 0.500
Au 0.000 0.000 0.000
Au 0.750 0.250 0.500
Bi 0.625 0.125 0.250
Bi 0.125 0.625 0.250
Bi 0.375 0.375 0.750
Bi 0.875 0.875 0.750

Output
SG: I-42d
size of the total moment: 0.0 μB per formula unit
V: 27.4 Å³ per atom
ΔE_f: -0.6 eV per formula unit



# 6
Material: Tm6CoAg2
Method: DFT, GGA-PBE
State: relaxed

Cell lengths 6.555, 7.295, 9.807 Å; angles 90.00, 87.01, 90.00 degrees
Element x y z (fractional)
Tm 0.880 0.983 0.251
Tm 0.822 0.689 0.549
Tm 0.836 0.684 0.946
Tm 0.664 0.184 0.554
Tm 0.678 0.189 0.951
Tm 0.620 0.483 0.249
Tm 0.120 0.017 0.749
Tm 0.178 0.311 0.451
Tm 0.164 0.316 0.054
Tm 0.336 0.816 0.446
Tm 0.322 0.811 0.049
Tm 0.380 0.517 0.751
Co 0.500 0.500 0.000
Co 0.000 0.000 0.500
Ag 0.945 0.395 0.745
Ag 0.555 0.895 0.755
Ag 0.445 0.105 0.245
Ag 0.055 0.605 0.255

Output
SG: P2_1/c
size of the total moment: 0.0 μB per formula unit
V: 26.0 Å³ per atom
ΔE_f: -1.5 eV per formula unit



# 7
Material: Ca2AlSe
Method: DFT, GGA-PBE
State: relaxed

Cell lengths 5.281, 5.281, 5.281 Å; angles 60.00, 60.00, 60.00 degrees
Element x y z (fractional)
Ca 0.000 0.000 0.000
Ca 0.250 0.250 0.250
Al 0.500 0.500 0.500
Se 0.750 0.750 0.750

Output
SG: F-43m
size of the total moment: 0.0 μB per formula unit
excess energy over the best structure of this formula in the dataset: 727 meV/atom
formation energy (no corrections): -0.155 eV per atom
V: 26.0 Å³ per atom



# 8
Material: TlTcAg2
Method: DFT, GGA-PBE
State: relaxed

Cell lengths 2.869, 4.439, 5.833 Å; angles 90.00, 90.00, 90.00 degrees
Element x y z (fractional)
Ag 0.000 0.000 0.018
Ag 0.000 0.000 0.482
Tc 0.500 0.500 0.250
Tl 0.500 0.500 0.750

Output
SG: Pmmm
size of the total moment: 0.5 μB per formula unit
excess energy over the best structure of this formula in the dataset: 65 meV/atom
V: 18.6 Å³ per atom
ΔE_f: 2.4 eV per formula unit